1.
Below is a geometry-optimized NiSe structure, with properties calculated at the PBE-GGA level.

Density: 4.98 g cm⁻³
Calculated total energy: -4.7752 eV/atom
Formation energy (no corrections): -0.14 eV/atom

Cell: 6.202 6.202 6.202 Å, 109.47 109.47 109.47°
Element x y z (fractional)
Ni: 0.000 0.000 0.731
Ni: 0.000 0.731 0.000
Ni: 0.269 0.269 0.269
Ni: 0.731 0.000 0.000
Se: 0.000 0.000 0.369
Se: 0.000 0.369 0.000
Se: 0.369 0.000 0.000
Se: 0.631 0.631 0.631



2.
Below is a geometry-optimized Ba4CdHg2 structure, with properties calculated at the PBE-GGA level.

Density: 5.93 g cm⁻³
Calculated total energy: -1.6753 eV/atom
DFT formation energy: -0.360 eV per atom

Cell: 7.285 7.285 7.285 Å, 109.65 109.65 109.11°
Element x y z (fractional)
Ba: 0.000 0.000 0.500
Ba: 0.000 0.500 0.000
Ba: 0.500 0.000 0.000
Ba: 0.500 0.500 0.500
Cd: 0.000 0.000 0.000
Hg: 0.000 0.500 0.500
Hg: 0.500 0.000 0.500



3.
Below is a geometry-optimized BeInTeO6 structure, with properties calculated at the PBE-GGA level.

Density: 5.82 g cm⁻³
Calculated total energy: -5.6454 eV/atom
Formation energy (no corrections): -1.27 eV/atom

Cell: 4.988 4.988 9.207 Å, 90.00 90.00 120.00°
Element x y z (fractional)
Be: 0.333 0.667 0.250
Be: 0.667 0.333 0.750
In: 0.000 0.000 0.000
In: 0.000 0.000 0.500
Te: 0.333 0.667 0.750
Te: 0.667 0.333 0.250
O: 0.013 0.367 0.138
O: 0.013 0.646 0.362
O: 0.354 0.367 0.362
O: 0.354 0.987 0.138
O: 0.367 0.013 0.638
O: 0.367 0.354 0.862
O: 0.633 0.646 0.138
O: 0.633 0.987 0.362
O: 0.646 0.013 0.862
O: 0.646 0.633 0.638
O: 0.987 0.354 0.638
O: 0.987 0.633 0.862